[1]
VASP calculation (PBE) on a relaxed Li2SiAsOs crystal.

Structure (POSCAR):
```
Li2SiAsOs
1.0
-0.2207 -4.5445 -1.0424
2.3208 0.7613 -3.8104
4.0013 -0.7203 2.2931
Li As Os Si
2 1 1 1
Cartesian
-0.1104 -2.2723 -0.5212
2.0007 -0.3602 1.1466
3.0507 -2.2518 -1.2798
0.0000 0.0000 0.0000
1.1604 0.3806 -1.9052
```

## Properties
**SG**: P4/mmm
**E_tot**: -4.31 eV per atom
**Formation energy without anion corrections**: 347.7 kJ/mol of formula units



[2]
VASP calculation (PBE) on a relaxed ScBe6Au6 crystal.

Structure (POSCAR):
```
ScBe6Au6
1.0
-4.8060 -0.0079 0.5827
-3.0153 -3.2121 -4.8023
-2.0211 -5.1984 3.3710
Sc Au Be
1 6 6
Cartesian
0.0000 0.0000 0.0000
-2.4426 -1.4490 -0.0550
-4.8840 -2.8530 -0.0993
-4.9584 -5.5654 -0.7494
-2.6886 -3.8647 -2.1169
-2.3477 -4.5458 0.6856
-7.3997 -6.9693 -0.7936
-3.4135 -2.6031 1.9768
-1.5076 -1.6060 -2.4012
-5.1819 -3.6883 -2.5677
-4.6605 -4.7301 1.7191
-3.9106 -1.6100 -2.1098
-1.0105 -2.5992 1.6855
```

## Properties
**SG**: Immm
**E_tot**: -4.01 eV per atom
**ΔE_f**: -294.2 meV/atom



[3]
VASP calculation (PBE) on a relaxed Nd8Sn2Ir3 crystal.

Structure (POSCAR):
```
Nd8Sn2Ir3
1.0
-4.8144 -0.7722 1.2748
2.8698 -7.3163 6.4062
-0.7746 8.8328 2.4210
Ir Sn Nd
3 2 8
Cartesian
-4.8667 6.2182 5.3074
-2.4072 -0.3861 0.6374
2.1475 -5.4739 4.7945
-0.6512 -1.5286 6.5740
-2.0680 2.2728 3.5280
-1.5587 -1.0135 3.4592
1.9446 0.3392 7.5474
-4.6638 0.4051 2.5545
0.5154 4.0424 4.3946
-3.2346 -3.2982 5.7073
-0.0884 -4.7574 6.7439
-1.1605 1.7578 6.6427
-2.6308 5.5017 3.3580
```

## Properties
**SG**: Cmmm
**E_tot**: -6.12 eV per atom
**ΔE_f**: -525.7 meV/atom



[4]
VASP calculation (PBE) on a relaxed K8ClO2 crystal.

Structure (POSCAR):
```
K8ClO2
1.0
7.2418 -0.0014 2.0644
1.2366 7.2589 4.4258
0.0484 0.1908 8.5889
Cl K O
1 8 2
Cartesian
0.0000 0.0000 0.0000
3.0768 4.8004 9.0281
2.9095 4.4538 4.1075
5.6174 2.9945 10.9716
5.4500 2.6479 6.0510
2.2925 0.7837 6.2693
2.0976 1.0726 2.4197
6.2343 6.6646 8.8098
6.4293 6.3757 12.6594
3.8217 1.8489 4.2297
4.7052 5.5994 10.8495
```

## Properties
**SG**: C2/m
**E_tot**: -2.74 eV per atom
**Formation energy without anion corrections**: -921.9 kJ/mol of formula units



[5]
VASP calculation (PBE) on a relaxed GdCuIr crystal.

Structure (POSCAR):
```
GdCuIr
1.0
-1.7654 -2.5779 -1.8397
3.3516 -0.3931 -2.6655
-0.2073 -2.4002 3.5622
Gd Cu Ir
1 1 1
Cartesian
-0.1979 -3.4497 0.2598
1.8711 -1.4918 -0.8963
-0.2942 -0.4296 -0.3066
```

## Properties
**SG**: P-6m2
**E_tot**: -9.43 eV per atom
**ΔE_f**: -415.3 meV/atom
**Polymorph energy (0 for the lowest one)**: 0 meV/atom



[6]
VASP calculation (PBE) on a relaxed Cs2UGe2S6 crystal.

Structure (POSCAR):
```
Cs2UGe2S6
1.0
7.3843 0.0000 0.0000
-3.6922 6.3647 -0.3114
0.0000 -4.0123 7.1468
Cs S Ge U
2 6 2 1
Cartesian
3.6921 1.9928 1.3571
0.0000 0.3596 5.4783
-1.8352 5.0628 1.4311
1.8352 5.0628 1.4311
0.0000 1.9572 2.1843
5.5273 -2.7105 5.4043
3.6922 0.3952 4.6511
1.8570 -2.7105 5.4043
3.6921 2.4721 5.5724
0.0000 -0.1197 1.2630
3.6922 -2.0062 3.5734
```

## Properties
**SG**: C2/m
**E_tot**: -5.18 eV per atom
**Formation energy without anion corrections**: -963.5 kJ/mol of formula units



[7]
VASP calculation (PBE) on a relaxed ScPt2Br crystal.

Structure (POSCAR):
```
ScPt2Br
1.0
-1.3651 0.5787 -3.5626
3.5027 -0.7165 -1.4586
-1.1260 -4.7966 -0.3477
Br Pt Sc
1 2 1
Cartesian
1.1884 -2.7565 -0.9032
0.0000 0.0000 0.0000
1.0688 -0.0689 -2.5106
-1.2455 -2.1089 -1.9552
```

## Properties
**SG**: P4/mmm
**E_tot**: -5.41 eV per atom
**Formation energy without anion corrections**: -151.0 kJ/mol of formula units
**Polymorph energy (0 for the lowest one)**: 400 meV/atom



[8]
VASP calculation (PBE) on a relaxed Na3NdU3S8 crystal.

Structure (POSCAR):
```
Na3NdU3S8
1.0
8.0264 0.0000 0.0000
-4.0132 6.9512 -0.0255
0.0000 -4.6112 6.7399
S Nd U Na
8 1 3 3
Cartesian
5.9615 -1.1196 1.8457
0.0000 0.0859 4.8809
2.0649 -1.1196 1.8457
1.9483 3.4596 4.8687
4.0132 0.0180 4.8961
4.0132 2.2540 1.8334
0.0000 2.3220 1.8183
-1.9483 3.4596 4.8687
0.0000 -2.3056 3.3699
4.0132 -2.3056 3.3699
-2.0066 1.1700 3.3572
2.0066 1.1700 3.3572
-2.0066 3.4756 -0.0128
0.0000 0.0000 0.0000
2.0066 3.4756 -0.0128
```

## Properties
**SG**: R-3m
**E_tot**: -6.50 eV per atom
**Formation energy without anion corrections**: -2113.0 kJ/mol of formula units



[9]
VASP calculation (PBE) on a relaxed Tb3B3Os2 crystal.

Structure (POSCAR):
```
Tb3B3Os2
1.0
3.7210 0.0000 0.0000
-1.8605 5.5641 0.0000
0.0000 0.0000 12.9022
Tb B Os
6 6 4
Cartesian
1.8605 4.7922 1.4679
0.0000 3.9608 9.6767
1.8605 4.7922 4.9832
0.0000 0.7719 11.4343
0.0000 0.7719 7.9191
1.8605 1.6033 3.2256
0.0000 3.9731 7.0078
0.0000 3.4406 3.2256
1.8605 2.1235 9.6767
0.0000 3.9731 12.3456
1.8605 1.5910 5.8944
1.8605 1.5910 0.5567
1.8605 3.0245 7.5496
1.8605 3.0245 11.8038
0.0000 2.5396 1.0985
0.0000 2.5396 5.3527
```

## Properties
**SG**: Cmcm
**E_tot**: -7.34 eV per atom
**ΔE_f**: -289.4 meV/atom



[10]
VASP calculation (PBE) on a relaxed TeHPd crystal.

Structure (POSCAR):
```
TeHPd
1.0
3.0969 0.0000 0.0000
0.0000 5.2065 0.4822
-1.5484 0.1729 6.5432
Te Pd H
2 2 2
Cartesian
0.0000 3.9210 4.7600
1.5484 1.4585 2.2653
1.5484 0.0000 0.0000
0.0000 2.6033 0.2411
0.0000 4.2519 1.0057
1.5484 1.1275 6.0197
```

## Properties
**SG**: C2/m
**E_tot**: -3.99 eV per atom
**Polymorph energy (0 for the lowest one)**: 54 meV/atom



[11]
VASP calculation (PBE) on a relaxed Nd3Cd2Pb crystal.

Structure (POSCAR):
```
Nd3Cd2Pb
1.0
3.8818 0.0000 0.0000
0.0000 5.4735 0.0000
0.0000 0.0000 16.5803
Pb Cd Nd
2 4 6
Cartesian
0.0029 0.0000 0.0000
3.8790 2.7368 8.2901
3.8815 2.7368 2.8825
0.0003 0.0000 5.4076
3.8815 2.7368 13.6978
0.0003 0.0000 11.1727
1.9409 0.0000 2.7759
1.9409 2.7368 11.0661
1.9446 2.7368 0.0000
1.9372 0.0000 8.2901
1.9409 0.0000 13.8044
1.9409 2.7368 5.5142
```

## Properties
**SG**: Pmmn
**E_tot**: -3.70 eV per atom
**ΔE_f**: -396.0 meV/atom



[12]
VASP calculation (PBE) on a relaxed Y2ZrW crystal.

Structure (POSCAR):
```
Y2ZrW
1.0
-2.8762 0.5381 -5.0879
4.4349 -3.8404 0.1778
-1.9254 -2.2440 0.8073
Y W Zr
2 1 1
Cartesian
0.0000 0.0000 0.0000
0.7793 -1.6512 -2.4550
1.2548 -3.0422 0.4926
-2.4008 -0.8530 -2.1403
```

## Properties
**SG**: C2/m
**E_tot**: -8.11 eV per atom
**ΔE_f**: 496.8 meV/atom
**Polymorph energy (0 for the lowest one)**: 267 meV/atom



[13]
VASP calculation (PBE) on a relaxed SmTh2C2 crystal.

Structure (POSCAR):
```
SmTh2C2
1.0
-2.8402 1.1414 2.0461
-3.3193 0.4293 -1.5343
-4.1294 -8.2795 2.1993
C Th Sm
2 2 1
Cartesian
-5.8088 -6.1712 2.0047
-4.4801 -0.5375 0.7064
-7.5770 -4.4394 1.8969
-2.7119 -2.2694 0.8143
0.0000 0.0000 0.0000
```

## Properties
**SG**: R-3m
**E_tot**: -7.84 eV per atom
**ΔE_f**: -235.8 meV/atom
**Polymorph energy (0 for the lowest one)**: 0 meV/atom



[14]
VASP calculation (PBE) on a relaxed Zr2InTc crystal.

Structure (POSCAR):
```
Zr2InTc
1.0
-2.4784 -0.9501 -2.0625
-0.4546 -2.7836 1.8286
-4.7320 3.4609 4.0920
Zr Tc In
2 1 1
Cartesian
-2.5145 1.8391 2.1745
-4.5835 3.3523 3.9636
-5.0155 0.7288 2.9521
-2.6495 -1.0016 0.9061
```

## Properties
**SG**: P4/mmm
**E_tot**: -7.92 eV per atom
**ΔE_f**: -374.5 meV/atom
**Polymorph energy (0 for the lowest one)**: 0 meV/atom



[15]
VASP calculation (PBE) on a relaxed PmZrSn crystal.

Structure (POSCAR):
```
PmZrSn
1.0
-3.7371 -1.8581 0.9528
1.8199 -3.7941 -0.2610
1.1944 2.2784 9.1247
Zr Pm Sn
2 2 2
Cartesian
-0.5809 -2.2972 9.5268
0.0996 0.4784 7.9919
-1.3326 -2.4330 6.3161
-0.3432 -1.6644 2.0778
-0.5971 0.3532 5.0182
-1.0794 -4.4506 3.3748
```

## Properties
**SG**: P2_1/m
**E_tot**: -5.99 eV per atom
**ΔE_f**: -226.3 meV/atom
**Polymorph energy (0 for the lowest one)**: 344 meV/atom



[16]
VASP calculation (PBE) on a relaxed Nd10Dy4Er crystal.

Structure (POSCAR):
```
Nd10Dy4Er
1.0
-3.7534 -2.4463 6.3958
3.3520 -8.2155 3.5920
3.7269 3.2488 8.1968
Nd Dy Er
10 4 1
Cartesian
0.7244 -4.3180 10.6913
2.0578 -7.4385 15.0516
2.6011 -3.0949 7.4934
1.2678 0.0256 3.1331
1.9127 -1.1312 12.6117
1.4129 -6.2817 5.5729
3.7927 0.0941 9.4081
-0.4671 -7.5070 8.7765
3.9378 -6.2132 11.8479
-0.6123 -1.1997 6.3367
2.6756 -6.2593 8.7103
1.3290 -3.1293 4.3501
0.6499 -1.1537 9.4743
1.9966 -4.2836 13.8345
0.0000 0.0000 0.0000
```

## Properties
**SG**: I4/m
**E_tot**: -4.02 eV per atom
**ΔE_f**: 689.6 meV/atom



[17]
VASP calculation (PBE) on a relaxed CeH3Pt crystal.

Structure (POSCAR):
```
CeH3Pt
1.0
3.7978 0.0000 0.0000
0.0000 3.7978 0.0000
0.0000 0.0000 3.7978
H Pt Ce
3 1 1
Cartesian
1.8989 0.0000 0.0000
0.0000 1.8989 0.0000
0.0000 0.0000 1.8989
0.0000 0.0000 0.0000
1.8989 1.8989 1.8989
```

## Properties
**SG**: Pm-3m
**E_tot**: -4.88 eV per atom



[18]
VASP calculation (PBE) on a relaxed Ac8IrRh3Au4 crystal.

Structure (POSCAR):
```
Ac8IrRh3Au4
1.0
8.7363 0.0000 0.0000
0.0000 9.0188 0.1930
-4.3681 -4.3644 6.1805
Ac Au Ir Rh
8 4 1 3
Cartesian
6.5626 2.4353 0.1683
-2.1945 2.2191 6.2051
0.0000 4.4116 3.1001
2.1736 2.4353 0.1683
2.1945 2.2191 6.2051
0.0000 0.2468 3.2616
4.3681 4.4076 3.1119
4.3681 0.2428 3.2733
4.3681 0.0000 0.0000
0.0000 0.0000 0.0000
2.1841 -2.1822 3.0902
-2.1841 -2.1822 3.0902
0.0000 4.5094 0.0965
2.1841 2.3272 3.1867
4.3681 4.5094 0.0965
-2.1841 2.3272 3.1867
```

## Properties
**SG**: R-3m
**E_tot**: -5.57 eV per atom
**ΔE_f**: -764.9 meV/atom



[19]
VASP calculation (PBE) on a relaxed Y2CuPd2 crystal.

Structure (POSCAR):
```
Y2CuPd2
1.0
-4.3467 1.8093 -5.7735
3.3518 -5.1983 -4.1525
-2.5759 -2.5674 1.1348
Pd Cu Y
4 2 4
Cartesian
0.6555 -1.6703 -2.2911
1.3103 -3.8445 -5.7236
-1.6504 -1.7187 -7.6348
-2.3052 0.4554 -4.2024
-0.4974 -1.6945 -4.9630
0.0000 0.0000 0.0000
0.2161 -4.4681 -3.2231
-3.7869 -1.4883 -5.5681
-1.4391 -4.3671 -6.7518
-2.1318 -1.5893 -2.0394
```

## Properties
**SG**: P4/mbm
**E_tot**: -6.13 eV per atom
**ΔE_f**: -646.0 meV/atom



[20]
VASP calculation (PBE) on a relaxed Tb4CdRh5 crystal.

Structure (POSCAR):
```
Tb4CdRh5
1.0
3.4353 0.0000 0.0000
0.0000 3.4353 0.0000
0.0000 0.0000 16.6158
Cd Rh Tb
1 5 4
Cartesian
0.0000 0.0000 0.0000
1.7177 1.7177 4.9108
1.7177 1.7177 11.7050
1.7177 1.7177 15.0649
1.7177 1.7177 1.5509
1.7177 1.7177 8.3079
0.0000 0.0000 3.1482
0.0000 0.0000 6.5909
0.0000 0.0000 10.0249
0.0000 0.0000 13.4676
```

## Properties
**SG**: P4/mmm
**E_tot**: -6.33 eV per atom
**ΔE_f**: -712.6 meV/atom